Below is a relaxed La2TiSbPd crystal, with properties calculated at the PBE-GGA level.

Geometry as CIF:
```
data_La2TiSbPd
_space_group_name_H-M_alt 'P 1'
_space_group_IT_number 1
_space_group_name_Hall 'P 1'
_cell_length_a 6.011
_cell_length_b 6.011
_cell_length_c 5.043
_cell_angle_alpha 90.00
_cell_angle_beta 90.00
_cell_angle_gamma 90.00
loop_
_atom_site_label
_atom_site_type_symbol
_atom_site_fract_x
_atom_site_fract_y
_atom_site_fract_z
_atom_site_occupancy
La1 La 0.000 0.500 0.000 1
La2 La 0.500 0.000 0.000 1
Ti1 Ti 0.000 0.000 0.500 1
Sb1 Sb 0.000 0.000 0.000 1
Pd1 Pd 0.500 0.500 0.500 1
```

Summary:
Magnetic moment, Bohr magnetons per cell: 3.6
Final energy, eV/cell: -25.44
Formation energy without anion corrections, meV per atom: 324

Below is a relaxed MnAlZnRu crystal, with properties calculated at the PBE-GGA level.

Geometry as CIF:
```
data_MnAlZnRu
_space_group_name_H-M_alt 'P 1'
_space_group_IT_number 1
_space_group_name_Hall 'P 1'
_cell_length_a 4.260
_cell_length_b 4.260
_cell_length_c 4.260
_cell_angle_alpha 60.00
_cell_angle_beta 60.00
_cell_angle_gamma 60.00
loop_
_atom_site_label
_atom_site_type_symbol
_atom_site_fract_x
_atom_site_fract_y
_atom_site_fract_z
_atom_site_occupancy
Mn1 Mn 0.000 0.000 0.000 1
Al1 Al 0.250 0.250 0.250 1
Zn1 Zn 0.750 0.750 0.750 1
Ru1 Ru 0.500 0.500 0.500 1
```

Summary:
Magnetic moment, Bohr magnetons per cell: 3.1
Final energy, eV/cell: -24.46

Below is a relaxed ErNpAs2 crystal, with properties calculated at the PBE-GGA level.

Geometry as CIF:
```
data_ErNpAs2
_space_group_name_H-M_alt 'P 1'
_space_group_IT_number 1
_space_group_name_Hall 'P 1'
_cell_length_a 7.101
_cell_length_b 7.101
_cell_length_c 7.101
_cell_angle_alpha 33.45
_cell_angle_beta 33.45
_cell_angle_gamma 33.45
loop_
_atom_site_label
_atom_site_type_symbol
_atom_site_fract_x
_atom_site_fract_y
_atom_site_fract_z
_atom_site_occupancy
Er1 Er 0.000 0.000 0.000 1
Np1 Np 0.500 0.500 0.500 1
As1 As 0.250 0.250 0.250 1
As2 As 0.750 0.750 0.750 1
```

Summary:
Magnetic moment, Bohr magnetons per cell: 3.8
Final energy, eV/cell: -31.19

Below is a relaxed LaY2Rh crystal, with properties calculated at the PBE-GGA level.

Geometry as CIF:
```
data_LaY2Rh
_space_group_name_H-M_alt 'P 1'
_space_group_IT_number 1
_space_group_name_Hall 'P 1'
_cell_length_a 7.255
_cell_length_b 9.675
_cell_length_c 6.526
_cell_angle_alpha 90.00
_cell_angle_beta 90.00
_cell_angle_gamma 90.00
loop_
_atom_site_label
_atom_site_type_symbol
_atom_site_fract_x
_atom_site_fract_y
_atom_site_fract_z
_atom_site_occupancy
La1 La 0.043 0.250 0.139 1
La2 La 0.457 0.750 0.639 1
La3 La 0.543 0.250 0.361 1
La4 La 0.957 0.750 0.861 1
Y1 Y 0.174 0.066 0.670 1
Y2 Y 0.174 0.434 0.670 1
Y3 Y 0.326 0.566 0.170 1
Y4 Y 0.326 0.934 0.170 1
Y5 Y 0.674 0.066 0.830 1
Y6 Y 0.674 0.434 0.830 1
Y7 Y 0.826 0.566 0.330 1
Y8 Y 0.826 0.934 0.330 1
Rh1 Rh 0.123 0.750 0.442 1
Rh2 Rh 0.377 0.250 0.942 1
Rh3 Rh 0.623 0.750 0.058 1
Rh4 Rh 0.877 0.250 0.558 1
```

Summary:
Magnetic moment, Bohr magnetons per cell: 0.0
Final energy, eV/cell: -108.78

Below is a relaxed NaInGa2Si crystal, with properties calculated at the PBE-GGA level.

Geometry as CIF:
```
data_NaInGa2Si
_space_group_name_H-M_alt 'P 1'
_space_group_IT_number 1
_space_group_name_Hall 'P 1'
_cell_length_a 5.169
_cell_length_b 5.169
_cell_length_c 5.543
_cell_angle_alpha 90.00
_cell_angle_beta 90.00
_cell_angle_gamma 90.00
loop_
_atom_site_label
_atom_site_type_symbol
_atom_site_fract_x
_atom_site_fract_y
_atom_site_fract_z
_atom_site_occupancy
Na1 Na 0.000 0.000 0.000 1
In1 In 0.000 0.000 0.500 1
Ga1 Ga 0.000 0.500 0.500 1
Ga2 Ga 0.500 0.000 0.500 1
Si1 Si 0.500 0.500 0.000 1
```

Summary:
Magnetic moment, Bohr magnetons per cell: 0.0
Final energy, eV/cell: -11.52
Formation energy without anion corrections, meV per atom: 802

Below is a relaxed TaMnP2 crystal, with properties calculated at the PBE-GGA level.

Geometry as CIF:
```
data_TaMnP2
_space_group_name_H-M_alt 'P 1'
_space_group_IT_number 1
_space_group_name_Hall 'P 1'
_cell_length_a 3.762
_cell_length_b 3.762
_cell_length_c 5.433
_cell_angle_alpha 100.77
_cell_angle_beta 100.77
_cell_angle_gamma 46.29
loop_
_atom_site_label
_atom_site_type_symbol
_atom_site_fract_x
_atom_site_fract_y
_atom_site_fract_z
_atom_site_occupancy
Ta1 Ta 0.000 0.000 0.000 1
Mn1 Mn 0.500 0.500 0.500 1
P1 P 0.242 0.242 0.696 1
P2 P 0.758 0.758 0.304 1
```

Summary:
Magnetic moment, Bohr magnetons per cell: 0.0
Final energy, eV/cell: -32.99

Below is a relaxed PbN2F crystal, with properties calculated at the PBE-GGA level.

Geometry as CIF:
```
data_PbN2F
_space_group_name_H-M_alt 'P 1'
_space_group_IT_number 1
_space_group_name_Hall 'P 1'
_cell_length_a 4.877
_cell_length_b 4.877
_cell_length_c 4.877
_cell_angle_alpha 46.34
_cell_angle_beta 46.34
_cell_angle_gamma 46.34
loop_
_atom_site_label
_atom_site_type_symbol
_atom_site_fract_x
_atom_site_fract_y
_atom_site_fract_z
_atom_site_occupancy
Pb1 Pb 0.000 0.000 0.000 1
N1 N 0.272 0.272 0.272 1
N2 N 0.728 0.728 0.728 1
F1 F 0.500 0.500 0.500 1
```

Summary:
Magnetic moment, Bohr magnetons per cell: 3.0
Final energy, eV/cell: -16.81
Formation energy without anion corrections, meV per atom: 1354

Below is a relaxed K2CaTa crystal, with properties calculated at the PBE-GGA level.

Geometry as CIF:
```
data_K2CaTa
_space_group_name_H-M_alt 'P 1'
_space_group_IT_number 1
_space_group_name_Hall 'P 1'
_cell_length_a 10.641
_cell_length_b 10.641
_cell_length_c 10.641
_cell_angle_alpha 162.36
_cell_angle_beta 149.58
_cell_angle_gamma 35.38
loop_
_atom_site_label
_atom_site_type_symbol
_atom_site_fract_x
_atom_site_fract_y
_atom_site_fract_z
_atom_site_occupancy
K1 K 0.160 0.160 0.000 1
K2 K 0.840 0.840 0.000 1
Ca1 Ca 0.500 0.000 0.500 1
Ta1 Ta 0.000 0.500 0.500 1
```

Summary:
Magnetic moment, Bohr magnetons per cell: 2.0
Final energy, eV/cell: -11.84